# 1
This record from Alexandria describes an optimized crystal structure of AcTmZr2. The functional is GGA-PBE.

The calculation puts the total energy at -6.1388 eV/atom. The value obtained for the density of states at the Fermi level is 17.63 states/eV/cell.

The space group is R-3m (No. 166, hexagonal axes) and the conventional cell measures 3.4710, 3.4710 and 32.9564 Å, with angles of 90.00, 90.00 and 120.00 degrees. The inequivalent atoms are Ac at (0.0000, 0.0000, 0.0000), Tm at (0.0000, 0.0000, 0.5000) and Zr at (0.0000, 0.0000, 0.2475).

# 2
This record from Alexandria describes an optimized crystal structure of AcTmZr. The functional is GGA-PBE.

The calculation puts the total energy at -5.5258 eV/atom. The value obtained for the density of states at the Fermi level is 9.87 states/eV/cell. The excess energy over the best structure of this formula in the dataset comes out at 0.00 kJ/mol of atoms.

The space group is I4mm (No. 107) and the conventional cell measures 3.507, 3.507 and 15.440 Å, with angles of 90.00, 90.00 and 90.00 degrees. The inequivalent atoms are Ac at (0.000, 0.000, 0.000), Tm at (0.000, 0.000, 0.692) and Zr at (0.000, 0.000, 0.332).

# 3
This record from Alexandria describes an optimized crystal structure of AcTmZr. The functional is GGA-PBE.

The calculation puts the total energy at -5.2724 eV/atom. The value obtained for the density of states at the Fermi level is 10.11 states/eV/cell. The excess energy over the best structure of this formula in the dataset comes out at 24.45 kJ/mol of atoms.

The space group is P4/nmm (No. 129, origin choice 2) and the conventional cell measures 4.151, 4.151 and 11.958 Å, with angles of 90.00, 90.00 and 90.00 degrees. The inequivalent atoms are Ac at (0.250, 0.250, 0.239), Tm at (0.250, 0.250, 0.568) and Zr at (0.250, 0.750, 0.000).

# 4
This record from Alexandria describes an optimized crystal structure of Ac2TmZr. The functional is GGA-PBE.

The calculation puts the total energy at -4.8451 eV/atom. The value obtained for the density of states at the Fermi level is 14.98 states/eV/cell.

The space group is R-3m (No. 166, hexagonal axes) and the conventional cell measures 3.5847, 3.5847 and 37.5390 Å, with angles of 90.00, 90.00 and 120.00 degrees. The inequivalent atoms are Ac at (0.0000, 0.0000, 0.0854), Tm at (0.0000, 0.0000, 0.5000) and Zr at (0.0000, 0.0000, 0.0000).